(1)
NaMnH2 | GGA-PBE | optimized geometry

Its crystal system is trigonal. The space group is R-3m, No. 166. The calculation puts the energy above the most stable polymorph in this dataset at 0.000 eV/atom. The theoretical density comes out at 3.442 Mg/m³. Its total energy is -4.22 eV per atom. The value obtained for the magnetic moment is 0.67 μB per atom.

```
4
Lattice="1.442 0.833 5.353 -1.442 0.833 5.353 0.000 -1.665 5.353" Properties=species:S:1:pos:R:3 pbc="T T T"
Na 0.000 0.000 0.000
Mn 0.000 0.000 8.029
H 0.000 0.000 3.451
H 0.000 0.000 12.608
```

---

(2)
NaMnH3 | GGA-PBE | optimized geometry

Its crystal system is cubic. The space group is Fd-3m, No. 227. The theoretical density comes out at 3.003 Mg/m³. Its total energy is -4.10 eV per atom. The value obtained for the magnetic moment is 0.50 μB per atom.

```
20
Lattice="0.000 4.474 4.474 4.474 0.000 4.474 4.474 4.474 0.000" Properties=species:S:1:pos:R:3 pbc="T T T"
Na 0.000 0.000 0.000
Na 2.237 2.237 0.000
Na 2.237 0.000 2.237
Na 0.000 2.237 2.237
Mn 4.474 2.237 2.237
Mn 2.237 4.474 2.237
Mn 2.237 2.237 4.474
Mn 4.474 4.474 4.474
H 3.355 3.355 1.543
H 3.355 1.543 3.355
H 5.168 3.355 3.355
H 5.592 5.592 3.780
H 5.592 3.780 5.592
H 7.404 5.592 5.592
H 1.543 3.355 3.355
H 3.355 5.168 3.355
H 3.355 3.355 5.168
H 3.780 5.592 5.592
H 5.592 7.404 5.592
H 5.592 5.592 7.404
```

---

(3)
NaMnH3 | GGA-PBE | optimized geometry

Its crystal system is tetragonal. The space group is P4mm, No. 99. The theoretical density comes out at 3.206 Mg/m³. Its total energy is -3.94 eV per atom. The value obtained for the magnetic moment is 0.45 μB per atom.

```
5
Lattice="2.777 0.000 0.000 0.000 2.777 0.000 0.000 0.000 5.436" Properties=species:S:1:pos:R:3 pbc="T T T"
Na 0.000 0.000 0.000
Mn 1.389 1.389 2.747
H 0.000 0.000 3.269
H 0.000 1.389 1.743
H 1.389 0.000 1.743
```

---

(4)
NaMnH3 | GGA-PBE | optimized geometry

Its crystal system is hexagonal. The space group is P6_3/mmc, No. 194. The theoretical density comes out at 2.852 Mg/m³. Its total energy is -4.05 eV per atom. The value obtained for the magnetic moment is 0.58 μB per atom.

```
10
Lattice="3.099 0.000 0.000 -1.550 2.684 0.000 0.000 0.000 11.331" Properties=species:S:1:pos:R:3 pbc="T T T"
Na 0.000 0.000 0.000
Na 0.000 0.000 5.666
Mn 0.000 1.789 2.833
Mn 1.550 0.895 8.498
H 0.000 0.000 2.833
H 0.000 0.000 8.498
H 0.000 1.789 1.181
H 0.000 1.789 4.484
H 1.550 0.895 6.847
H 1.550 0.895 10.150
```

---

(5)
NaMn2H6 | GGA-PBE | optimized geometry

Its crystal system is trigonal. The space group is P-31m, No. 162. The theoretical density comes out at 2.628 Mg/m³. Its total energy is -4.42 eV per atom. The value obtained for the magnetic moment is 0.77 μB per atom.

```
9
Lattice="4.711 0.000 0.000 -2.355 4.080 0.000 0.000 0.000 4.567" Properties=species:S:1:pos:R:3 pbc="T T T"
Na 0.000 0.000 0.000
Mn 0.000 2.720 2.284
Mn 2.355 1.360 2.284
H -0.982 1.701 3.288
H -1.374 2.379 1.279
H 1.964 0.000 3.288
H 0.982 1.701 1.279
H 2.747 0.000 1.279
H 1.374 2.379 3.288
```

---

(6)
NaMnH3 | GGA-PBE | optimized geometry

Its crystal system is orthorhombic. The space group is Cmcm, No. 63. The theoretical density comes out at 2.953 Mg/m³. Its total energy is -4.08 eV per atom. The value obtained for the magnetic moment is 0.00 μB per atom.

```
20
Lattice="3.929 -6.226 0.000 3.929 6.226 0.000 0.000 0.000 3.722" Properties=species:S:1:pos:R:3 pbc="T T T"
Na 3.929 5.092 2.792
Na 3.929 2.618 0.931
Na 3.929 -2.618 2.792
Na 3.929 -5.092 0.931
Mn 2.571 0.580 2.792
Mn 2.571 -0.580 0.931
Mn 5.287 0.580 2.792
Mn 5.287 -0.580 0.931
H 1.148 1.282 2.792
H 2.750 2.187 2.792
H 2.410 1.071 0.931
H 1.148 -1.282 0.931
H 2.410 -1.071 2.792
H 5.109 2.187 2.792
H 2.750 -2.187 0.931
H 5.449 1.071 0.931
H 6.710 1.282 2.792
H 5.449 -1.071 2.792
H 5.109 -2.187 0.931
H 6.710 -1.282 0.931
```

---

(7)
NaMnH2 | GGA-PBE | optimized geometry

Its crystal system is tetragonal. The space group is I-42d, No. 122. The calculation puts the energy above the most stable polymorph in this dataset at 0.018 eV/atom. The theoretical density comes out at 2.690 Mg/m³. Its total energy is -4.20 eV per atom. The value obtained for the magnetic moment is 1.00 μB per atom.

```
8
Lattice="-2.514 2.514 3.904 2.514 -2.514 3.904 2.514 2.514 -3.904" Properties=species:S:1:pos:R:3 pbc="T T T"
Na 0.000 0.000 0.000
Na 0.000 2.514 1.952
Mn 2.514 0.000 1.952
Mn 0.000 0.000 3.904
H 1.257 -0.744 2.928
H 1.770 1.257 0.976
H 1.257 3.258 -0.976
H 0.744 1.257 4.880
```

---

(8)
NaMnH3 | GGA-PBE | optimized geometry

Its crystal system is orthorhombic. The space group is Cmcm, No. 63. The theoretical density comes out at 3.214 Mg/m³. Its total energy is -3.89 eV per atom. The value obtained for the magnetic moment is 0.20 μB per atom.

```
10
Lattice="1.527 -6.183 0.000 1.527 6.183 0.000 0.000 0.000 4.430" Properties=species:S:1:pos:R:3 pbc="T T T"
Na 1.527 4.121 3.322
Na 1.527 -4.121 1.107
Mn 1.527 0.522 3.322
Mn 1.527 -0.522 1.107
H 0.000 0.000 0.000
H 0.000 0.000 2.215
H 0.793 1.901 3.322
H 0.793 -1.901 1.107
H 2.261 1.901 3.322
H 2.261 -1.901 1.107
```

---

(9)
NaMnH3 | GGA-PBE | optimized geometry

Its crystal system is trigonal. The space group is R3m, No. 160. The theoretical density comes out at 1.568 Mg/m³. Its total energy is -3.74 eV per atom. The value obtained for the magnetic moment is 1.00 μB per atom.

```
5
Lattice="3.052 1.762 2.656 -3.052 1.762 2.656 0.000 -3.524 2.656" Properties=species:S:1:pos:R:3 pbc="T T T"
Na 0.000 0.000 0.000
Mn 0.000 0.000 5.121
H -1.317 -0.761 5.919
H 1.317 -0.761 5.919
H 0.000 1.521 5.919
```

---

(10)
Na2Mn3H10 | GGA-PBE | optimized geometry

Its crystal system is monoclinic. The space group is C2/m, No. 12. The theoretical density comes out at 3.060 Mg/m³. Its total energy is -4.25 eV per atom. The value obtained for the magnetic moment is 0.48 μB per atom.

```
30
Lattice="6.930 -2.819 0.000 6.930 2.819 0.000 -2.053 0.000 6.134" Properties=species:S:1:pos:R:3 pbc="T T T"
Na 1.554 0.000 0.086
Na 1.816 0.000 3.634
Na 9.991 0.000 2.501
Na 10.253 0.000 6.048
Mn 5.903 1.448 3.067
Mn 4.435 0.000 0.924
Mn 4.603 0.000 5.032
Mn 7.204 0.000 1.102
Mn 7.372 0.000 5.210
Mn 5.903 -1.448 3.067
H 3.465 1.410 0.000
H -0.470 0.000 2.275
H 4.732 1.506 1.803
H 4.332 1.216 3.906
H 3.012 0.000 1.748
H 6.930 1.254 0.000
H 2.989 0.000 5.401
H 7.075 1.506 4.331
H 7.475 1.216 2.228
H 5.805 0.000 2.068
H 3.465 -1.410 0.000
H 6.002 0.000 4.067
H 4.332 -1.216 3.906
H 4.732 -1.506 1.803
H 8.818 0.000 0.733
H 6.930 -1.254 0.000
H 8.795 0.000 4.387
H 7.475 -1.216 2.228
H 7.075 -1.506 4.331
H 12.277 0.000 3.860
```

---

(11)
NaMnH3 | GGA-PBE | optimized geometry

Its crystal system is orthorhombic. The space group is Cmcm, No. 63. The theoretical density comes out at 2.481 Mg/m³. Its total energy is -3.82 eV per atom. The value obtained for the magnetic moment is 0.59 μB per atom.

```
10
Lattice="1.456 -6.834 0.000 1.456 6.834 0.000 0.000 0.000 5.446" Properties=species:S:1:pos:R:3 pbc="T T T"
Na 1.456 5.103 4.084
Na 1.456 -5.103 1.361
Mn 1.456 0.967 4.084
Mn 1.456 -0.967 1.361
H 0.978 2.603 4.084
H 1.933 2.603 4.084
H 1.456 0.000 0.000
H 1.456 0.000 2.723
H 0.978 -2.603 1.361
H 1.933 -2.603 1.361
```

---

(12)
NaMnH3 | GGA-PBE | optimized geometry

Its crystal system is monoclinic. The space group is C2/m, No. 12. The theoretical density comes out at 2.762 Mg/m³. Its total energy is -4.20 eV per atom. The value obtained for the magnetic moment is 0.65 μB per atom.

```
10
Lattice="4.132 -2.386 0.000 4.132 2.386 0.000 -2.761 0.000 4.936" Properties=species:S:1:pos:R:3 pbc="T T T"
Na 0.000 0.000 1.662
Na 5.502 0.000 3.274
Mn 2.754 0.000 0.012
Mn 2.749 0.000 4.924
H 2.059 1.209 1.097
H 3.444 1.209 3.839
H 1.355 0.000 3.839
H 4.147 0.000 1.097
H 2.059 -1.209 1.097
H 3.444 -1.209 3.839
```

---

(13)
Na2MnH4 | GGA-PBE | optimized geometry

Its crystal system is tetragonal. The space group is I4/mmm, No. 139. The theoretical density comes out at 2.433 Mg/m³. Its total energy is -3.69 eV per atom. The value obtained for the magnetic moment is 0.37 μB per atom.

```
7
Lattice="-1.772 1.772 5.703 1.772 -1.772 5.703 1.772 1.772 -5.703" Properties=species:S:1:pos:R:3 pbc="T T T"
Na 0.000 0.000 1.673
Na 0.000 0.000 9.733
Mn 0.000 0.000 5.703
H 1.772 0.000 0.000
H 0.000 0.000 3.993
H 0.000 1.772 0.000
H 0.000 0.000 7.413
```

---

(14)
NaMn2H8 | GGA-PBE | optimized geometry

Its crystal system is monoclinic. The space group is C2/m, No. 12. The theoretical density comes out at 3.170 Mg/m³. Its total energy is -4.20 eV per atom. The value obtained for the magnetic moment is 0.42 μB per atom.

```
11
Lattice="2.578 -4.087 0.000 2.578 4.087 0.000 -0.013 0.000 3.503" Properties=species:S:1:pos:R:3 pbc="T T T"
Na 0.000 0.000 0.000
Mn 2.572 1.463 1.752
Mn 2.572 -1.463 1.752
H 0.901 1.188 1.752
H 2.578 1.643 0.000
H 0.901 -1.188 1.752
H 2.559 0.000 0.906
H 2.584 0.000 2.598
H 4.242 1.188 1.752
H 2.578 -1.643 0.000
H 4.242 -1.188 1.752
```

---

(15)
NaMnH3 | GGA-PBE | optimized geometry

Its crystal system is tetragonal. The space group is I-4m2, No. 119. The theoretical density comes out at 2.698 Mg/m³. Its total energy is -3.82 eV per atom. The value obtained for the magnetic moment is 0.59 μB per atom.

```
10
Lattice="-1.524 1.524 10.718 1.524 -1.524 10.718 1.524 1.524 -10.718" Properties=species:S:1:pos:R:3 pbc="T T T"
Na 0.000 0.000 0.000
Na 0.000 1.524 5.359
Mn 1.524 0.000 2.785
Mn 1.524 0.000 7.933
H 0.000 0.000 6.972
H 0.000 0.729 2.336
H 0.000 0.000 14.465
H 0.000 2.320 2.336
H -0.796 1.524 8.382
H 0.796 1.524 8.382
```

---

(16)
Na2MnH | GGA-PBE | optimized geometry

Its crystal system is tetragonal. The space group is I-42d, No. 122. The calculation puts the energy above the most stable polymorph in this dataset at 0.000 eV/atom. The theoretical density comes out at 1.946 Mg/m³. Its total energy is -3.35 eV per atom. The value obtained for the magnetic moment is 0.99 μB per atom.

```
8
Lattice="-4.982 4.982 1.752 4.982 -4.982 1.752 4.982 4.982 -1.752" Properties=species:S:1:pos:R:3 pbc="T T T"
Na -0.985 2.491 0.438
Na 2.491 3.997 1.314
Na 0.985 7.473 0.438
Na -2.491 5.967 1.314
Mn 4.982 0.000 0.876
Mn 0.000 0.000 1.752
H 0.000 0.000 0.000
H 0.000 4.982 0.876
```

---

(17)
NaMnH3 | GGA-PBE | optimized geometry

Its crystal system is monoclinic. The space group is C2/m, No. 12. The theoretical density comes out at 2.629 Mg/m³. Its total energy is -4.13 eV per atom. The value obtained for the magnetic moment is 0.00 μB per atom.

```
10
Lattice="5.686 -2.630 0.000 5.686 2.630 0.000 -0.761 0.000 3.420" Properties=species:S:1:pos:R:3 pbc="T T T"
Na 1.657 0.000 0.771
Na 8.955 0.000 2.649
Mn 4.874 0.000 0.870
Mn 5.738 0.000 2.550
H 3.720 1.099 1.048
H 5.686 1.217 0.000
H 6.892 1.099 2.371
H 3.720 -1.099 1.048
H 5.686 -1.217 0.000
H 6.892 -1.099 2.371
```

---

(18)
NaMnH3 | GGA-PBE | optimized geometry

Its crystal system is orthorhombic. The space group is Amm2, No. 38. The theoretical density comes out at 1.727 Mg/m³. Its total energy is -3.96 eV per atom. The value obtained for the magnetic moment is 0.84 μB per atom.

```
5
Lattice="2.812 0.000 0.000 0.000 2.794 4.953 0.000 -2.794 4.953" Properties=species:S:1:pos:R:3 pbc="T T T"
Na 0.000 0.000 0.000
Mn 1.406 0.000 6.661
H 0.000 -1.090 6.327
H 0.000 1.090 6.327
H 1.406 0.000 8.397
```

---

(19)
Na2MnH | GGA-PBE | optimized geometry

Its crystal system is cubic. The space group is Fm-3m, No. 225. The calculation puts the energy above the most stable polymorph in this dataset at 0.434 eV/atom. The theoretical density comes out at 1.850 Mg/m³. Its total energy is -2.92 eV per atom. The value obtained for the magnetic moment is 1.10 μB per atom.

```
4
Lattice="0.000 3.576 3.576 3.576 0.000 3.576 3.576 3.576 0.000" Properties=species:S:1:pos:R:3 pbc="T T T"
Na 1.788 1.788 1.788
Na 5.365 5.365 5.365
Mn 0.000 0.000 0.000
H 3.576 3.576 3.576
```

---

(20)
Na3MnH7 | GGA-PBE | optimized geometry

Its crystal system is monoclinic. The space group is Cm, No. 8. The theoretical density comes out at 2.064 Mg/m³. Its total energy is -3.46 eV per atom. The value obtained for the magnetic moment is 0.09 μB per atom.

```
11
Lattice="3.635 -3.757 0.000 3.635 3.757 0.000 -3.635 0.000 3.857" Properties=species:S:1:pos:R:3 pbc="T T T"
Na 0.000 0.000 0.000
Na 1.919 1.877 1.929
Na 1.919 -1.877 1.929
Mn 0.165 0.000 3.854
H -0.265 1.534 3.853
H -1.440 0.000 3.837
H 0.178 0.000 2.197
H 5.089 0.897 0.004
H -0.265 -1.534 3.853
H 3.788 0.000 1.654
H 5.089 -0.897 0.004
```